1.
Compound: SrScF2
Source: the Alexandria database
Functional: PBE
Structure: relaxed

Lattice parameters (Å, degrees): 4.7291 4.7291 4.7291 60.00 60.00 60.00
Atoms (fractional coordinates):
F 0.2500 0.2500 0.2500
Sc 0.0000 0.0000 0.0000
Sr 0.5000 0.5000 0.5000
F 0.7500 0.7500 0.7500

2.
Compound: SrScF2
Source: the Alexandria database
Functional: PBE
Structure: relaxed

Lattice parameters (Å, degrees): 6.7031 6.7031 6.7031 33.20 33.20 33.20
Atoms (fractional coordinates):
F 0.8647 0.8647 0.8647
F 0.1353 0.1353 0.1353
Sc 0.5000 0.5000 0.5000
Sr 0.0000 0.0000 0.0000

Number 1: electronic total energy -4.601 eV per atom, energy relative to the lowest polymorph listed for this composition 0.9909 eV per atom, formation energy (no corrections) -1.6621 eV per atom. Number 2: electronic total energy -5.394 eV per atom, energy relative to the lowest polymorph listed for this composition 0.1983 eV per atom, formation energy (no corrections) -2.4546 eV per atom.